Record 1
Be2SbAuN PBE relaxed; formation energy from raw total energies = 9.37 eV/f.u.; crystal system = tetragonal; ρ = 5.12 g cm⁻³; DOS(E_F) = 3.6 states/eV/cell; M_tot = 1.326 μB/f.u.
1.0
4.637 0.000 0.000
0.000 4.637 0.000
0.000 0.000 5.286
Be Sb Au N
2 1 1 1
direct
0.000 0.500 0.000
0.500 0.000 0.000
0.000 0.000 0.000
0.000 0.000 0.500
0.500 0.500 0.500



Record 2
TbPm2Tm3As6 PBE relaxed; DFT formation energy = -1512 meV/atom; crystal system = monoclinic; ρ = 7.78 g cm⁻³; DOS(E_F) = 1.8 states/eV/cell; M_tot = 0.000 μB/f.u.
1.0
9.008 -2.069 0.000
9.008 2.069 0.000
-1.885 0.000 8.048
Tb Pm Tm As
1 2 3 6
direct
0.000 0.000 0.000
0.334 0.334 0.668
0.666 0.666 0.332
0.000 0.000 0.500
0.333 0.333 0.166
0.667 0.667 0.834
0.164 0.164 0.589
0.167 0.167 0.076
0.497 0.497 0.252
0.503 0.503 0.748
0.833 0.833 0.924
0.836 0.836 0.411



Record 3
HfPS2I PBE relaxed; formation energy from raw total energies = 5.73 eV/f.u.; crystal system = tetragonal; ρ = 5.41 g cm⁻³; DOS(E_F) = 4.1 states/eV/cell; M_tot = 0.885 μB/f.u.
1.0
4.895 0.000 0.000
0.000 4.895 0.000
0.000 0.000 5.128
Hf P S I
1 1 2 1
direct
0.000 0.000 0.000
0.500 0.500 0.000
0.000 0.500 0.500
0.500 0.000 0.500
0.500 0.500 0.500



Record 4
Ce2PaNiN5 PBE relaxed; formation energy from raw total energies = -9.38 eV/f.u.; crystal system = orthorhombic; ρ = 8.76 g cm⁻³; DOS(E_F) = 5.9 states/eV/cell; M_tot = 0.000 μB/f.u.
1.0
1.744 -6.612 0.000
1.744 6.612 0.000
0.000 0.000 10.526
Ce Pa Ni N
4 2 2 10
direct
0.100 0.900 0.500
0.134 0.866 0.123
0.866 0.134 0.623
0.900 0.100 0.000
0.199 0.801 0.826
0.801 0.199 0.326
0.485 0.515 0.266
0.515 0.485 0.766
0.039 0.961 0.871
0.277 0.723 0.475
0.335 0.665 0.191
0.369 0.631 0.808
0.482 0.518 0.589
0.518 0.482 0.089
0.631 0.369 0.308
0.665 0.335 0.691
0.723 0.277 0.975
0.961 0.039 0.371



Record 5
Hf6Sb2Os PBE relaxed; formation energy from raw total energies = 2.67 eV/f.u.; crystal system = tetragonal; ρ = 10.14 g cm⁻³; DOS(E_F) = 12.8 states/eV/cell; M_tot = 0.000 μB/f.u.
1.0
6.058 0.000 0.000
0.000 6.058 0.000
0.000 0.000 13.426
Hf Sb Os
12 4 2
direct
0.181 0.181 0.146
0.181 0.181 0.854
0.202 0.202 0.500
0.298 0.702 0.000
0.319 0.681 0.354
0.319 0.681 0.646
0.681 0.319 0.354
0.681 0.319 0.646
0.702 0.298 0.000
0.798 0.798 0.500
0.819 0.819 0.146
0.819 0.819 0.854
0.000 0.000 0.326
0.000 0.000 0.674
0.500 0.500 0.174
0.500 0.500 0.826
0.000 0.000 0.000
0.500 0.500 0.500



Record 6
Y2ZnRu PBE relaxed; DFT formation energy = -334 meV/atom; crystal system = monoclinic; ρ = 6.36 g cm⁻³; DOS(E_F) = 3.8 states/eV/cell; M_tot = 0.000 μB/f.u.
1.0
3.939 0.000 0.000
0.000 4.282 0.000
-1.958 0.000 5.329
Y Zn Ru
2 1 1
direct
0.000 0.000 0.000
0.281 0.500 0.563
0.573 0.500 0.145
0.715 0.000 0.430



Record 7
CdTc PBE relaxed; DFT formation energy = 541 meV/atom; crystal system = orthorhombic; ρ = 10.19 g cm⁻³; DOS(E_F) = 1.9 states/eV/cell; M_tot = 0.000 μB/f.u.
1.0
1.611 -2.226 0.000
1.611 2.226 0.000
0.000 0.000 4.783
Cd Tc
1 1
direct
0.000 0.000 0.000
0.500 0.500 0.500



Record 8
YHgIr3 PBE relaxed; DFT formation energy = 1409 meV/atom; crystal system = cubic; ρ = 12.10 g cm⁻³; DOS(E_F) = 8.6 states/eV/cell; M_tot = 0.000 μB/f.u.
1.0
4.917 0.000 0.000
0.000 4.917 0.000
0.000 0.000 4.917
Y Hg Ir
1 1 3
direct
0.000 0.000 0.000
0.500 0.500 0.500
0.000 0.500 0.500
0.500 0.000 0.500
0.500 0.500 0.000